First-principles (PBE) data for LaNdAl after structural relaxation, as listed in the Alexandria database.

Unit cell a=3.5604 b=3.5604 c=7.5583 alpha=103.62 beta=103.62 gamma=90.00
Element x y z (fractional)
Nd: 0.5928 0.5928 0.1856
Al: 0.9524 0.9524 0.9048
La: 0.3048 0.3048 0.6097

Values from the calculation:
Formation energy ... -0.20 eV/atom
Symmetry ... I4mm
Energy ... -4.68 eV/atom
Total moment ... 0.000 μB per atom